Material: ZrCr
Method: DFT, PBE
State: relaxed

Lattice parameters (Å, degrees): 9.769 3.035 7.568 90.00 112.82 90.00
Positions (direct):
Zr 0.000 0.000 0.000
Zr 0.173 0.500 0.791
Zr 0.327 0.000 0.209
Zr 0.500 0.500 0.000
Zr 0.673 0.000 0.791
Zr 0.827 0.500 0.209
Cr 0.000 0.000 0.500
Cr 0.164 0.500 0.398
Cr 0.336 0.000 0.602
Cr 0.500 0.500 0.500
Cr 0.664 0.000 0.398
Cr 0.836 0.500 0.602

Values from the calculation:
The formation energy is 0.245 eV per atom.

***

Material: TbNdCoRu
Method: DFT, PBE
State: relaxed

Lattice parameters (Å, degrees): 6.879 6.879 6.879 90.00 90.00 90.00
Positions (direct):
Tb 0.000 0.000 0.000
Tb 0.000 0.500 0.500
Tb 0.500 0.000 0.500
Tb 0.500 0.500 0.000
Nd 0.000 0.000 0.500
Nd 0.000 0.500 0.000
Nd 0.500 0.000 0.000
Nd 0.500 0.500 0.500
Co 0.250 0.250 0.750
Co 0.250 0.750 0.250
Co 0.750 0.250 0.250
Co 0.750 0.750 0.750
Ru 0.250 0.250 0.250
Ru 0.250 0.750 0.750
Ru 0.750 0.250 0.750
Ru 0.750 0.750 0.250

Values from the calculation:
The formation energy is -0.091 eV per atom.

***

Material: PmAs2P
Method: DFT, PBE
State: relaxed

Lattice parameters (Å, degrees): 4.655 4.655 14.066 90.00 90.00 120.00
Positions (direct):
Pm 0.000 0.000 0.000
Pm 0.333 0.667 0.667
Pm 0.667 0.333 0.333
As 0.000 0.000 0.212
As 0.000 0.000 0.788
As 0.333 0.667 0.455
As 0.333 0.667 0.878
As 0.667 0.333 0.122
As 0.667 0.333 0.545
P 0.000 0.000 0.500
P 0.333 0.667 0.167
P 0.667 0.333 0.833

Values from the calculation:
Its energy above the most stable polymorph in this dataset is 188 meV/atom. The formation energy is -0.283 eV per atom.

***

Material: KNaCdI4
Method: DFT, PBE
State: relaxed

Lattice parameters (Å, degrees): 7.922 8.404 9.487 90.00 106.02 90.00
Positions (direct):
K 0.211 0.250 0.049
K 0.789 0.750 0.951
Na 0.232 0.250 0.569
Na 0.768 0.750 0.431
Cd 0.240 0.750 0.325
Cd 0.760 0.250 0.675
I 0.006 0.504 0.731
I 0.006 0.996 0.731
I 0.443 0.750 0.124
I 0.475 0.750 0.605
I 0.525 0.250 0.395
I 0.557 0.250 0.876
I 0.994 0.004 0.269
I 0.994 0.496 0.269

Values from the calculation:
The raw formation energy comes out at -1013.3 meV/atom.

***

Material: PmGdLu2
Method: DFT, PBE
State: relaxed

Lattice parameters (Å, degrees): 5.039 5.039 4.922 90.00 90.00 90.00
Positions (direct):
Pm 0.000 0.000 0.000
Gd 0.500 0.500 0.000
Lu 0.000 0.500 0.500
Lu 0.500 0.000 0.500

Values from the calculation:
The formation energy is 0.024 eV per atom.

***

Material: K2SrLa
Method: DFT, PBE
State: relaxed

Lattice parameters (Å, degrees): 4.038 4.038 45.136 90.00 90.00 120.00
Positions (direct):
K 0.000 0.000 0.248
K 0.000 0.000 0.752
K 0.333 0.667 0.419
K 0.333 0.667 0.914
K 0.667 0.333 0.086
K 0.667 0.333 0.581
Sr 0.000 0.000 0.000
Sr 0.333 0.667 0.667
Sr 0.667 0.333 0.333
La 0.000 0.000 0.500
La 0.333 0.667 0.167
La 0.667 0.333 0.833

Values from the calculation:
Its energy above the most stable polymorph in this dataset is 79 meV/atom. The formation energy is 0.272 eV per atom.

***

Material: SnPd2Au
Method: DFT, PBE
State: relaxed

Lattice parameters (Å, degrees): 8.892 4.226 8.548 90.00 119.30 90.00
Positions (direct):
Sn 0.247 0.000 0.148
Sn 0.253 0.500 0.852
Sn 0.747 0.500 0.148
Sn 0.753 0.000 0.852
Pd 0.000 0.500 0.000
Pd 0.000 0.500 0.500
Pd 0.023 0.000 0.769
Pd 0.477 0.500 0.231
Pd 0.500 0.000 0.000
Pd 0.500 0.000 0.500
Pd 0.523 0.500 0.769
Pd 0.977 0.000 0.231
Au 0.248 0.500 0.385
Au 0.252 0.000 0.615
Au 0.748 0.000 0.385
Au 0.752 0.500 0.615

Values from the calculation:
The formation energy is -0.341 eV per atom.

***

Material: Dy3Er8Tm3
Method: DFT, PBE
State: relaxed

Lattice parameters (Å, degrees): 9.486 9.486 9.486 146.08 111.71 78.48
Positions (direct):
Dy 0.000 0.000 0.000
Dy 0.181 0.681 0.500
Dy 0.819 0.319 0.500
Er 0.119 0.278 0.841
Er 0.239 0.896 0.342
Er 0.437 0.278 0.159
Er 0.446 0.104 0.342
Er 0.554 0.896 0.658
Er 0.563 0.722 0.841
Er 0.761 0.104 0.658
Er 0.881 0.722 0.159
Tm 0.204 0.500 0.704
Tm 0.500 0.500 0.000
Tm 0.796 0.500 0.296

Values from the calculation:
Its energy above the most stable polymorph in this dataset is 0 meV/atom. The formation energy is 0.118 eV per atom.

***

Summary of D(E_F) in states/eV/atom
1.31, 0.98, 0.61, 0.00, 1.65, 1.02, 0.55, 1.56
(order as listed above)
Summary of raw total energy in eV/cell
-106.09, -104.58, -61.77, -33.25, -27.78, -23.15, -76.11, -62.07
(order as listed above)